(1)
Entry from the Alexandria database: crystalline RbGa3Os at its relaxed geometry (PBE-GGA).

Lattice parameters (Å, degrees): 7.362 6.923 6.742 59.09 102.87 88.95
Element x y z (fractional)
1 Rb 0.549 0.962 0.741
2 Os 0.336 0.617 0.429
3 Ga 0.568 0.404 0.858
4 Ga 0.282 0.516 0.132
5 Rb 0.012 0.073 0.522
6 Os 0.228 0.416 0.835
7 Ga 0.996 0.629 0.406
8 Ga 0.653 0.631 0.398
9 Ga 0.911 0.402 0.866
10 Ga 0.282 0.016 0.132

Results
Energy relative to the elements (eV per formula unit): -0.02
Space group: P1 (1)


(2)
Entry from the Alexandria database: crystalline RbGa3Os at its relaxed geometry (PBE-GGA).

Lattice parameters (Å, degrees): 7.217 7.217 5.097 90.00 90.00 122.30
Element x y z (fractional)
1 Os 0.166 0.834 0.250
2 Ga 0.000 0.000 0.500
3 Rb 0.434 0.566 0.250
4 Rb 0.566 0.434 0.750
5 Ga 0.427 0.922 0.750
6 Ga 0.573 0.078 0.250
7 Ga 0.922 0.427 0.250
8 Ga 0.078 0.573 0.750
9 Ga 0.000 0.000 0.000
10 Os 0.834 0.166 0.750

Results
Energy relative to the elements (eV per formula unit): 0.78
Space group: Cmcm (63)


(3)
Entry from the Alexandria database: crystalline Rb2GaOs at its relaxed geometry (PBE-GGA).

Lattice parameters (Å, degrees): 4.142 4.142 12.396 80.38 80.38 90.00
Last column: magnetic moment on the atom in μB.
Element x y z (fractional)
1 Rb 0.626 0.125 0.250  -0.01
2 Ga 0.500 0.500 0.000  -0.03
3 Os 0.750 0.250 0.500  0.91
4 Ga 0.250 0.750 0.500  -0.03
5 Rb 0.875 0.876 0.750  -0.01
6 Rb 0.375 0.374 0.750  -0.01
7 Os 0.000 0.000 0.000  0.91
8 Rb 0.124 0.625 0.250  -0.01

Results
Energy relative to the elements (eV per formula unit): 5.45
Space group: I-42d (122)


The lowest energy relative to the elements belongs to which entry? number 1


What is the formula in the second record? RbGa3Os